1.
Entry from the Alexandria database: a crystal of CaFe2Ru relaxed with PBEsol (SCAN).

a = 5.324 Å, b = 5.324 Å, c = 5.324 Å
α = 149.77°, β = 128.75°, γ = 60.66°
Sites, in units of the cell vectors:
Ca (0.000, 0.000, 0.000)
Fe (0.279, 0.779, 0.500)
Fe (0.493, 0.493, 0.000)
Ru (0.719, 0.219, 0.500)

Its volume is 58.76 Å³ per cell. For the formation energy, the calculation gives 0.47 eV per atom.

=====

2.
Entry from the Alexandria database: a crystal of CaFeRu relaxed with PBEsol (SCAN).

a = 2.866 Å, b = 2.866 Å, c = 6.757 Å
α = 90.00°, β = 90.00°, γ = 120.00°
Sites, in units of the cell vectors:
Ca (0.000, 0.000, 0.000)
Fe (0.333, 0.667, 0.635)
Ru (0.667, 0.333, 0.364)

Its volume is 48.08 Å³ per cell. For the formation energy, the calculation gives 0.72 eV per atom.

=====

3.
Entry from the Alexandria database: a crystal of CaFe2Ru relaxed with PBEsol (SCAN).

a = 2.692 Å, b = 4.026 Å, c = 5.856 Å
α = 90.00°, β = 102.32°, γ = 90.00°
Sites, in units of the cell vectors:
Ca (0.000, 0.000, 0.000)
Fe (0.532, 0.000, 0.496)
Fe (0.731, 0.500, 0.311)
Ru (0.292, 0.500, 0.680)

Its volume is 62.01 Å³ per cell. For the formation energy, the calculation gives 0.43 eV per atom.